A) Computed, not measured: Na12Cd5Hg2 after structural relaxation at the GGA-PBE level of DFT.

Space-group type ... No. 12

Unit cell a=5.0138 b=11.9683 c=11.9683 alpha=50.43 beta=77.92 gamma=77.92
Last column: nearest neighbours and their distance in Å.
Positions (direct):
1 Cd 0.5000 0.0000 0.0000  8 Na 3.28-3.32, 4 Hg 3.37
2 Cd 0.7045 0.7964 0.7964  2 Cd 3.14-3.15, 4 Na 3.18-3.28
3 Na 0.9172 0.5828 0.5828  2 Hg 3.34, 7 Na 3.49-3.50, 2 Cd 3.61-3.62
4 Hg 0.0000 0.7794 0.2206  8 Na 3.13-3.34, 2 Cd 3.37
5 Na 0.7998 0.4596 0.9409  4 Cd 3.18-3.52, 6 Na 3.27-3.49
6 Cd 0.2952 0.7063 0.7063  2 Cd 3.14-3.15, 8 Na 3.30-3.52
7 Na 0.2002 0.0591 0.5404  4 Cd 3.18-3.52, 6 Na 3.27-3.49
8 Na 0.5904 0.6482 0.1708  2 Hg 3.18, 2 Cd 3.28-3.45, 4 Na 3.41-3.50
9 Cd 0.7048 0.2937 0.2937  2 Cd 3.14-3.15, 8 Na 3.30-3.52
10 Na 0.0828 0.4172 0.4172  2 Hg 3.34, 7 Na 3.49-3.50, 2 Cd 3.61-3.62
11 Na 0.1036 0.8965 0.8965  2 Hg 3.13, 4 Cd 3.27-3.32, 2 Na 3.34
12 Na 0.2002 0.5404 0.0591  4 Cd 3.18-3.52, 6 Na 3.27-3.49
13 Na 0.7998 0.9409 0.4596  4 Cd 3.18-3.52, 6 Na 3.27-3.49
14 Hg 0.0000 0.2206 0.7794  8 Na 3.13-3.34, 2 Cd 3.37
15 Cd 0.2955 0.2036 0.2036  2 Cd 3.14-3.15, 4 Na 3.18-3.28
16 Na 0.4096 0.3518 0.8292  2 Hg 3.18, 2 Cd 3.28-3.45, 4 Na 3.41-3.50
17 Na 0.5904 0.1708 0.6482  2 Hg 3.18, 2 Cd 3.28-3.45, 4 Na 3.41-3.50
18 Na 0.8964 0.1035 0.1035  2 Hg 3.13, 4 Cd 3.27-3.32, 2 Na 3.34
19 Na 0.4096 0.8292 0.3518  2 Hg 3.18, 2 Cd 3.28-3.45, 4 Na 3.41-3.50

B) Computed, not measured: Na12Cd5Hg2 after structural relaxation at the GGA-PBE level of DFT.

Space-group type ... No. 12

Unit cell a=10.7922 b=8.2815 c=8.5322 alpha=78.93 beta=90.00 gamma=130.66
Last column: nearest neighbours and their distance in Å.
Positions (direct):
1 Na 0.9970 0.6476 0.8187  1 Hg 3.15, 2 Cd 3.19-3.33
2 Cd 0.2410 0.4821 0.4664  2 Cd 2.97-3.00, 4 Na 3.19-3.32
3 Cd 0.6119 0.2239 0.8703  2 Cd 3.00-3.11, 2 Hg 3.02, 3 Na 3.19-3.24
4 Na 0.0030 0.3524 0.1813  1 Hg 3.15, 2 Cd 3.19-3.33
5 Na 0.3494 0.3524 0.1813  1 Hg 3.15, 2 Cd 3.19-3.33
6 Na 0.1522 0.7852 0.3872  4 Cd 3.19-3.41, 1 Hg 3.24, 1 Na 3.41
7 Na 0.3952 0.7904 0.7299  3 Cd 3.24-3.39, 1 Na 3.52
8 Na 0.6329 0.7852 0.3872  4 Cd 3.19-3.41, 1 Hg 3.24, 1 Na 3.41
9 Hg 0.2604 0.0000 0.0000  2 Cd 3.02, 6 Na 3.15-3.25
10 Cd 0.0000 0.0000 0.5000  2 Cd 2.97
11 Na 0.3671 0.2148 0.6128  4 Cd 3.19-3.41, 1 Hg 3.24, 1 Na 3.41
12 Na 0.6048 0.2096 0.2701  3 Cd 3.24-3.39, 1 Na 3.52
13 Hg 0.7396 0.0000 0.0000  2 Cd 3.02, 6 Na 3.15-3.25
14 Na 0.8478 0.2148 0.6128  4 Cd 3.19-3.41, 1 Hg 3.24, 1 Na 3.41
15 Na 0.6506 0.6476 0.8187  1 Hg 3.15, 2 Cd 3.19-3.33
16 Na 0.8941 0.7882 0.1580  2 Cd 3.22-3.50, 2 Hg 3.25, 4 Na 3.27-3.52
17 Cd 0.3881 0.7761 0.1297  2 Cd 3.00-3.11, 2 Hg 3.02, 3 Na 3.19-3.24
18 Cd 0.7590 0.5179 0.5336  2 Cd 2.97-3.00, 4 Na 3.19-3.32
19 Na 0.1059 0.2118 0.8420  2 Cd 3.22-3.50, 2 Hg 3.25, 4 Na 3.27-3.52

Most stable: B)

A) Computed, not measured: NaCd6Hg6 after structural relaxation at the GGA-PBE level of DFT.

Space-group type ... No. 71

Unit cell a=6.0763 b=7.9411 c=7.9411 alpha=81.30 beta=67.51 gamma=67.51
Last column: nearest neighbours and their distance in Å.
Positions (direct):
1 Hg 0.3165 0.6835 0.6835  6 Cd 3.08-3.12, 1 Na 3.29
2 Hg 0.3424 0.1576 0.1576  6 Cd 3.15-3.17, 3 Hg 3.28-3.46, 2 Na 3.45
3 Hg 0.6576 0.8424 0.8424  6 Cd 3.15-3.17, 3 Hg 3.28-3.46, 2 Na 3.45
4 Hg 0.6835 0.3165 0.3165  6 Cd 3.08-3.12, 1 Na 3.29
5 Cd 0.5000 0.2619 0.7381  4 Cd 3.02, 6 Hg 3.12-3.19
6 Cd 0.5000 0.7381 0.2619  4 Cd 3.02, 6 Hg 3.12-3.19
7 Hg 0.0000 0.6451 0.3549  1 Hg 3.00, 6 Cd 3.19-3.20
8 Hg 0.0000 0.3549 0.6451  1 Hg 3.00, 6 Cd 3.19-3.20
9 Na 0.0000 0.0000 0.0000  8 Hg 3.29-3.67
10 Cd 0.5000 0.5000 0.0000  4 Cd 3.02-3.04, 6 Hg 3.08-3.20
11 Cd 0.0000 0.0000 0.5000  4 Cd 3.02-3.04, 6 Hg 3.08-3.20
12 Cd 0.5000 0.0000 0.5000  4 Cd 3.02-3.04, 6 Hg 3.08-3.20
13 Cd 0.0000 0.5000 0.0000  4 Cd 3.02-3.04, 6 Hg 3.08-3.20

B) Computed, not measured: NaCd6Hg6 after structural relaxation at the GGA-PBE level of DFT.

Space-group type ... No. 191

Unit cell a=6.1297 b=6.1297 c=9.9506 alpha=90.00 beta=90.00 gamma=120.00
Last column: nearest neighbours and their distance in Å.
Positions (direct):
1 Cd 0.5000 0.0000 0.2503  6 Hg 3.05-3.22, 4 Cd 3.06
2 Hg 0.0000 0.0000 0.6514  1 Hg 3.01, 6 Cd 3.22
3 Cd 0.5000 0.5000 0.2503  6 Hg 3.05-3.22, 4 Cd 3.06
4 Cd 0.5000 0.5000 0.7497  6 Hg 3.05-3.22, 4 Cd 3.06
5 Cd 0.0000 0.5000 0.7497  6 Hg 3.05-3.22, 4 Cd 3.06
6 Hg 0.3333 0.6667 0.5000  6 Cd 3.05
7 Hg 0.6667 0.3333 0.5000  6 Cd 3.05
8 Hg 0.6667 0.3333 0.0000  6 Cd 3.05
9 Na 0.0000 0.0000 0.0000  8 Hg 3.47-3.54
10 Hg 0.0000 0.0000 0.3486  1 Hg 3.01, 6 Cd 3.22
11 Cd 0.0000 0.5000 0.2503  6 Hg 3.05-3.22, 4 Cd 3.06
12 Cd 0.5000 0.0000 0.7497  6 Hg 3.05-3.22, 4 Cd 3.06
13 Hg 0.3333 0.6667 0.0000  6 Cd 3.05

Most stable: A)

A) Computed, not measured: Na2Cd5Hg12 after structural relaxation at the GGA-PBE level of DFT.

Space-group type ... No. 12

Unit cell a=9.1502 b=8.3637 c=7.7807 alpha=86.49 beta=90.00 gamma=123.16
Last column: nearest neighbours and their distance in Å.
Positions (direct):
1 Hg 0.6092 0.6409 0.7787  1 Na 3.15, 3 Cd 3.15-3.48, 5 Hg 3.19-3.49
2 Hg 0.5527 0.1053 0.2680  3 Cd 3.11-3.25, 4 Hg 3.19-3.20, 2 Na 3.41
3 Cd 0.2556 0.5113 0.5203  8 Hg 3.09-3.26, 1 Cd 3.40
4 Na 0.2214 0.0000 0.0000  8 Hg 3.15-3.41, 2 Cd 3.37
5 Cd 0.3499 0.6998 0.1045  7 Hg 3.11-3.20, 2 Na 3.37, 1 Cd 3.40
6 Hg 0.8332 0.6664 0.1047  2 Cd 3.09-3.14, 2 Na 3.15, 4 Hg 3.20-3.33
7 Hg 0.1529 0.7893 0.3779  4 Cd 2.98-3.22, 3 Hg 3.20-3.33, 1 Na 3.21
8 Hg 0.4473 0.8947 0.7320  3 Cd 3.11-3.25, 4 Hg 3.19-3.20, 2 Na 3.41
9 Hg 0.8471 0.2107 0.6221  4 Cd 2.98-3.22, 3 Hg 3.20-3.33, 1 Na 3.21
10 Cd 0.0000 0.0000 0.5000  4 Hg 2.98
11 Hg 0.3636 0.2107 0.6221  4 Cd 2.98-3.22, 3 Hg 3.20-3.33, 1 Na 3.21
12 Hg 0.1668 0.3336 0.8953  2 Cd 3.09-3.14, 2 Na 3.15, 4 Hg 3.20-3.33
13 Hg 0.3908 0.3591 0.2213  1 Na 3.15, 3 Cd 3.15-3.48, 5 Hg 3.19-3.49
14 Hg 0.0318 0.6409 0.7787  1 Na 3.15, 3 Cd 3.15-3.48, 5 Hg 3.19-3.49
15 Cd 0.7444 0.4887 0.4797  8 Hg 3.09-3.26, 1 Cd 3.40
16 Cd 0.6501 0.3002 0.8955  7 Hg 3.11-3.20, 2 Na 3.37, 1 Cd 3.40
17 Hg 0.9682 0.3591 0.2213  1 Na 3.15, 3 Cd 3.15-3.48, 5 Hg 3.19-3.49
18 Na 0.7786 0.0000 0.0000  8 Hg 3.15-3.41, 2 Cd 3.37
19 Hg 0.6364 0.7893 0.3779  4 Cd 2.98-3.22, 3 Hg 3.20-3.33, 1 Na 3.21

B) Computed, not measured: Na2Cd5Hg12 after structural relaxation at the GGA-PBE level of DFT.

Space-group type ... No. 12

Unit cell a=5.5774 b=10.0924 c=10.0924 alpha=65.40 beta=73.73 gamma=73.73
Last column: nearest neighbours and their distance in Å.
Positions (direct):
1 Hg 0.5968 0.1596 0.6438  3 Cd 3.08-3.30, 5 Hg 3.15-3.26, 2 Na 3.20-3.23
2 Na 0.0000 0.7669 0.2331  10 Hg 3.19-3.31
3 Hg 0.7597 0.5811 0.5811  5 Hg 3.14-3.34, 2 Cd 3.17-3.31, 2 Na 3.31
4 Hg 0.0330 0.8820 0.8820  4 Cd 2.97-3.19, 2 Hg 3.15, 2 Na 3.20
5 Cd 0.4058 0.2000 0.2000  6 Hg 2.97-3.30, 2 Cd 3.16-3.26
6 Na 0.0000 0.2331 0.7669  10 Hg 3.19-3.31
7 Hg 0.4032 0.8404 0.3562  3 Cd 3.08-3.30, 5 Hg 3.15-3.26, 2 Na 3.20-3.23
8 Cd 0.5942 0.8000 0.8000  6 Hg 2.97-3.30, 2 Cd 3.16-3.26
9 Hg 0.8018 0.9382 0.4587  3 Cd 3.13-3.50, 7 Hg 3.15-3.34, 1 Na 3.19
10 Cd 0.1707 0.6840 0.6840  7 Hg 3.08-3.31, 1 Cd 3.16
11 Hg 0.5968 0.6438 0.1596  3 Cd 3.08-3.30, 5 Hg 3.15-3.26, 2 Na 3.20-3.23
12 Cd 0.8293 0.3160 0.3160  7 Hg 3.08-3.31, 1 Cd 3.16
13 Hg 0.9670 0.1180 0.1180  4 Cd 2.97-3.19, 2 Hg 3.15, 2 Na 3.20
14 Hg 0.4032 0.3562 0.8404  3 Cd 3.08-3.30, 5 Hg 3.15-3.26, 2 Na 3.20-3.23
15 Cd 0.5000 0.0000 0.0000  6 Hg 2.98-3.22, 2 Cd 3.26
16 Hg 0.2403 0.4189 0.4189  5 Hg 3.14-3.34, 2 Cd 3.17-3.31, 2 Na 3.31
17 Hg 0.8018 0.4587 0.9382  3 Cd 3.13-3.50, 7 Hg 3.15-3.34, 1 Na 3.19
18 Hg 0.1982 0.0618 0.5413  3 Cd 3.13-3.50, 7 Hg 3.15-3.34, 1 Na 3.19
19 Hg 0.1982 0.5413 0.0618  3 Cd 3.13-3.50, 7 Hg 3.15-3.34, 1 Na 3.19

Most stable: B)

A) Computed, not measured: Na3Cd2Hg after structural relaxation at the GGA-PBE level of DFT.

Space-group type ... No. 26

Unit cell a=4.5992 b=6.6344 c=10.1134 alpha=90.00 beta=90.00 gamma=90.00
Last column: nearest neighbours and their distance in Å.
Positions (direct):
1 Na 0.0000 0.4083 0.3372  7 Cd 3.17-3.32, 4 Na 3.36-3.37, 1 Hg 3.39
2 Hg 0.0000 0.4091 0.0022  9 Na 3.26-3.39, 2 Hg 3.32, 1 Cd 3.56
3 Cd 0.0000 0.9083 0.3499  7 Na 3.17-3.37, 4 Cd 3.21-3.22
4 Na 0.5000 0.1694 0.8354  5 Na 3.18-3.46, 4 Hg 3.27-3.31, 3 Cd 3.36-3.40
5 Cd 0.0000 0.4083 0.6501  7 Na 3.17-3.37, 4 Cd 3.21-3.22
6 Na 0.5000 0.1485 0.1643  5 Na 3.18-3.46, 4 Hg 3.26-3.31, 3 Cd 3.37-3.39
7 Cd 0.5000 0.1577 0.4998  6 Cd 3.21-3.32, 6 Na 3.28-3.40
8 Na 0.5000 0.6694 0.1646  5 Na 3.18-3.46, 4 Hg 3.27-3.31, 3 Cd 3.36-3.40
9 Cd 0.5000 0.6577 0.5002  6 Cd 3.21-3.32, 6 Na 3.28-3.40
10 Hg 0.0000 0.9091 0.9978  9 Na 3.26-3.39, 2 Hg 3.32, 1 Cd 3.56
11 Na 0.0000 0.9083 0.6628  7 Cd 3.17-3.32, 4 Na 3.36-3.37, 1 Hg 3.39
12 Na 0.5000 0.6485 0.8357  5 Na 3.18-3.46, 4 Hg 3.26-3.31, 3 Cd 3.37-3.39

B) Computed, not measured: Na3Cd2Hg after structural relaxation at the GGA-PBE level of DFT.

Space-group type ... No. 15

Unit cell a=6.4012 b=6.2608 c=8.7773 alpha=96.67 beta=111.39 gamma=90.00
Last column: nearest neighbours and their distance in Å.
Positions (direct):
1 Hg 0.2778 0.2500 0.0000  2 Cd 2.98, 6 Na 3.15-3.32
2 Hg 0.7222 0.7500 0.0000  2 Cd 2.98, 6 Na 3.15-3.32
3 Na 0.7311 0.8561 0.6399  5 Cd 3.20-3.41, 1 Hg 3.32, 2 Na 3.33
4 Na 0.2689 0.1439 0.3601  5 Cd 3.20-3.41, 1 Hg 3.32, 2 Na 3.33
5 Na 0.2169 0.7500 0.0000  4 Hg 3.15-3.23, 2 Cd 3.27
6 Na 0.0912 0.6439 0.3601  5 Cd 3.20-3.41, 1 Hg 3.32, 2 Na 3.33
7 Cd 0.4219 0.4745 0.6994  1 Hg 2.98, 5 Na 3.20-3.31, 2 Cd 3.26
8 Cd 0.7225 0.0255 0.3006  1 Hg 2.98, 5 Na 3.20-3.31, 2 Cd 3.26
9 Cd 0.2775 0.9745 0.6994  1 Hg 2.98, 5 Na 3.20-3.31, 2 Cd 3.26
10 Cd 0.5781 0.5255 0.3006  1 Hg 2.98, 5 Na 3.20-3.31, 2 Cd 3.26
11 Na 0.7831 0.2500 0.0000  4 Hg 3.15-3.23, 2 Cd 3.27
12 Na 0.9088 0.3561 0.6399  5 Cd 3.20-3.41, 1 Hg 3.32, 2 Na 3.33

Most stable: A)

A) Computed, not measured: Na3Cd4Hg after structural relaxation at the GGA-PBE level of DFT.

Space-group type ... No. 44

Unit cell a=6.9332 b=6.9332 c=6.9332 alpha=79.52 beta=125.60 gamma=126.86
Last column: nearest neighbours and their distance in Å.
Positions (direct):
1 Na 0.5680 0.2468 0.8148  1 Hg 2.99, 4 Cd 3.12-3.20, 1 Na 3.24
2 Cd 0.0665 0.2840 0.3505  1 Hg 2.99, 5 Na 3.12-3.28, 2 Cd 3.19
3 Hg 0.3664 0.5000 0.8664  4 Cd 2.99-3.31, 4 Na 2.99-3.10
4 Na 0.5680 0.7532 0.3212  1 Hg 2.99, 4 Cd 3.12-3.20, 1 Na 3.24
5 Cd 0.0665 0.7160 0.7824  1 Hg 2.99, 5 Na 3.12-3.28, 2 Cd 3.19
6 Cd 0.5686 0.2440 0.3246  4 Cd 3.03-3.19, 1 Na 3.27, 1 Hg 3.31
7 Na 0.8666 0.0000 0.8666  2 Hg 3.10, 2 Na 3.24, 4 Cd 3.27-3.28
8 Cd 0.0805 0.7560 0.3246  4 Cd 3.03-3.19, 1 Na 3.27, 1 Hg 3.31

B) Computed, not measured: Na3Cd4Hg after structural relaxation at the GGA-PBE level of DFT.

Space-group type ... No. 12

Unit cell a=5.2829 b=3.3083 c=12.3498 alpha=89.90 beta=102.35 gamma=90.00
Last column: nearest neighbours and their distance in Å.
Positions (direct):
1 Hg 0.5000 0.0000 0.0000  4 Cd 2.98, 4 Na 3.12, 2 Hg 3.31
2 Cd 0.3974 0.5016 0.7948  1 Cd 2.89, 2 Hg 2.98
3 Na 0.1569 0.0004 0.3138  2 Na 3.31, 10 Cd 3.35-3.50
4 Cd 0.2776 0.4994 0.5552  3 Cd 2.89-2.96
5 Cd 0.6026 0.4984 0.2052  1 Cd 2.89, 2 Hg 2.98
6 Na 0.8431 0.9996 0.6862  2 Na 3.31, 10 Cd 3.35-3.50
7 Na 0.0000 0.5000 0.0000  4 Hg 3.12, 2 Na 3.31
8 Cd 0.7224 0.5006 0.4448  3 Cd 2.89-2.96

Most stable: B)

A) Computed, not measured: Na2Cd3Hg8 after structural relaxation at the GGA-PBE level of DFT.

Space-group type ... No. 12

Unit cell a=5.5230 b=8.0383 c=8.0383 alpha=82.76 beta=76.00 gamma=76.00
Last column: nearest neighbours and their distance in Å.
Positions (direct):
1 Hg 0.7837 0.4283 0.4283  5 Hg 3.05-3.37, 3 Na 3.06-3.22, 2 Cd 3.14
2 Hg 0.6531 0.0825 0.5975  2 Na 3.08-3.30, 2 Hg 3.11-3.16, 2 Cd 3.13-3.17
3 Hg 0.2163 0.5717 0.5717  5 Hg 3.05-3.37, 3 Na 3.06-3.22, 2 Cd 3.14
4 Na 0.6409 0.7019 0.7019  9 Hg 3.06-3.40
5 Hg 0.6531 0.5975 0.0825  2 Na 3.08-3.30, 2 Hg 3.11-3.16, 2 Cd 3.13-3.17
6 Hg 0.9324 0.1481 0.1481  4 Cd 3.07-3.41, 2 Na 3.10-3.40, 2 Hg 3.21-3.41
7 Hg 0.3469 0.9175 0.4025  2 Na 3.08-3.30, 2 Hg 3.11-3.16, 2 Cd 3.13-3.17
8 Cd 0.0000 0.2506 0.7494  8 Hg 3.13-3.50
9 Hg 0.3469 0.4025 0.9175  2 Na 3.08-3.30, 2 Hg 3.11-3.16, 2 Cd 3.13-3.17
10 Na 0.3591 0.2981 0.2981  9 Hg 3.06-3.40
11 Cd 0.0000 0.7494 0.2506  8 Hg 3.13-3.50
12 Hg 0.0676 0.8519 0.8519  4 Cd 3.07-3.41, 2 Na 3.10-3.40, 2 Hg 3.21-3.41
13 Cd 0.5000 0.0000 0.0000  8 Hg 3.07-3.41, 2 Na 3.43

B) Computed, not measured: Na2Cd3Hg8 after structural relaxation at the GGA-PBE level of DFT.

Space-group type ... No. 12

Unit cell a=6.4457 b=7.3647 c=8.7378 alpha=114.92 beta=107.03 gamma=90.00
Last column: nearest neighbours and their distance in Å.
Positions (direct):
1 Hg 0.8342 0.5876 0.1753  2 Cd 2.99, 3 Hg 3.06-3.10, 1 Na 3.33
2 Na 0.8133 0.7950 0.5901  6 Hg 3.08-3.34, 2 Cd 3.41
3 Cd 0.0000 0.8014 0.0000  1 Cd 2.92, 4 Hg 2.99-3.01
4 Hg 0.2463 0.7519 0.5038  5 Hg 3.06-3.18, 1 Na 3.08
5 Na 0.1867 0.2050 0.4099  6 Hg 3.08-3.34, 2 Cd 3.41
6 Hg 0.7537 0.2481 0.4962  5 Hg 3.06-3.18, 1 Na 3.08
7 Cd 0.0000 0.1986 0.0000  1 Cd 2.92, 4 Hg 2.99-3.01
8 Cd 0.5000 0.0000 0.0000  4 Hg 2.96
9 Hg 0.5469 0.1663 0.7545  2 Cd 2.96-3.01, 4 Hg 3.10-3.18, 1 Na 3.26
10 Hg 0.1658 0.4124 0.8247  2 Cd 2.99, 3 Hg 3.06-3.10, 1 Na 3.33
11 Hg 0.4531 0.8337 0.2455  2 Cd 2.96-3.01, 4 Hg 3.10-3.18, 1 Na 3.26
12 Hg 0.4531 0.4117 0.2455  2 Cd 2.96-3.01, 4 Hg 3.10-3.18, 1 Na 3.26
13 Hg 0.5469 0.5883 0.7545  2 Cd 2.96-3.01, 4 Hg 3.10-3.18, 1 Na 3.26

Most stable: A)